1.
VASP calculation (GGA-PBE) on NdGdNiHg after structural relaxation.

Cell lengths 7.299, 7.299, 7.299 Å; angles 90.00, 90.00, 90.00 degrees
Space group F-43m (No. 216)
Unique sites:
Nd1 0.000 0.000 0.000 [4 per cell]
Gd1 0.000 0.000 0.500 [4 per cell]
Ni1 0.250 0.250 0.250 [4 per cell]
Hg1 0.250 0.250 0.750 [4 per cell]



2.
VASP calculation (GGA-PBE) on NdGaSn after structural relaxation.

Cell lengths 4.356, 4.356, 8.793 Å; angles 90.00, 90.00, 90.00 degrees
Space group I4mm (No. 107)
Unique sites:
Nd1 0.000 0.000 0.000 [2 per cell]
Ga1 0.000 0.000 0.664 [2 per cell]
Sn1 0.000 0.000 0.352 [2 per cell]



3.
VASP calculation (GGA-PBE) on Ca2Nd2Rh3 after structural relaxation.

Calculated values
- energy relative to the lowest polymorph listed for this composition (kcal/mol of atoms) = 1.60

Cell lengths 13.653, 4.634, 5.649 Å; angles 90.00, 94.65, 90.00 degrees
Space group C2/m (No. 12)
Unique sites:
Ca1 0.089 0.000 0.309 [4 per cell]
Nd1 0.162 0.500 0.830 [4 per cell]
Rh1 0.000 0.500 0.500 [2 per cell]
Rh2 0.221 0.500 0.332 [4 per cell]



4.
VASP calculation (GGA-PBE) on ZnOs4Rh after structural relaxation.

Cell lengths 7.247, 7.247, 7.247 Å; angles 90.00, 90.00, 90.00 degrees
Space group F-43m (No. 216)
Unique sites:
Zn1 0.000 0.000 0.000 [4 per cell]
Os1 0.124 0.124 0.376 [16 per cell]
Rh1 0.250 0.250 0.750 [4 per cell]



Calculated values (eV/atom) of calculated total energy for the records, taken in order: -6.537 -4.259 -5.526 -8.159.
Calculated values (eV per atom) of ΔH_f (0 K) for the records, taken in order: -0.3039 -0.3261 -0.4409 0.7649.